Record 1
# Rb3PmCl6

An optimized crystal structure of Rb3PmCl6 (PBE-GGA, Alexandria).

Calculated values
magnetization	0.000	μB/f.u.
formation energy from raw total energies	-21.31	eV/f.u.

Cell: 7.8735 8.3107 13.5885 Å, 90.00 124.31 90.00°
Space group P2_1/c (No. 14)
Unique sites:
Rb: 0.0000 0.0000 0.0000 [2 per cell]
Rb: 0.2162 0.0685 0.7424 [4 per cell]
Pm: 0.5000 0.0000 0.5000 [2 per cell]
Cl: 0.1673 0.1793 0.4454 [4 per cell]
Cl: 0.2559 0.7301 0.4238 [4 per cell]
Cl: 0.4010 0.0566 0.2752 [4 per cell]

---

Record 2
# SrCoSb2

An optimized crystal structure of SrCoSb2 (PBE-GGA, Alexandria).

Calculated values
magnetization	0.000	μB/f.u.
formation energy from raw total energies	-1.66	eV/f.u.

Cell: 4.0933 4.0933 20.9097 Å, 90.00 90.00 120.00°
Space group R3m (No. 160, hexagonal axes)
Unique sites:
Sr: 0.0000 0.0000 0.0000 [3 per cell]
Co: 0.0000 0.0000 0.8260 [3 per cell]
Sb: 0.0000 0.0000 0.2159 [3 per cell]
Sb: 0.0000 0.0000 0.4432 [3 per cell]

---

Record 3
# Y2HoTh3Te6

An optimized crystal structure of Y2HoTh3Te6 (PBE-GGA, Alexandria).

Calculated values
magnetization	0.000	μB/f.u.
formation energy from raw total energies	-13.73	eV/f.u.

Cell: 19.9331 4.2466 9.1859 Å, 90.00 110.95 90.00°
Space group C2/m (No. 12)
Unique sites:
Y: 0.1669 0.0000 0.3328 [4 per cell]
Ho: 0.0000 0.5000 0.0000 [2 per cell]
Th: 0.0000 0.5000 0.5000 [2 per cell]
Th: 0.1670 0.0000 0.8329 [4 per cell]
Te: 0.0028 0.0000 0.2410 [4 per cell]
Te: 0.1629 0.5000 0.0895 [4 per cell]
Te: 0.1696 0.5000 0.5752 [4 per cell]

---

Record 4
# P2PtSO

An optimized crystal structure of P2PtSO (PBE-GGA, Alexandria).

Calculated values
magnetization	0.000	μB/f.u.
formation energy from raw total energies	6.41	eV/f.u.
energy relative to the lowest polymorph listed for this composition	4.43	eV/f.u.

Cell: 4.6502 4.6502 4.7153 Å, 90.00 90.00 90.00°
Space group P4/mmm (No. 123)
Unique sites:
P: 0.0000 0.5000 0.0000 [2 per cell]
Pt: 0.0000 0.0000 0.0000 [1 per cell]
S: 0.0000 0.0000 0.5000 [1 per cell]
O: 0.5000 0.5000 0.5000 [1 per cell]

---

Record 5
# LaV2Au2

An optimized crystal structure of LaV2Au2 (PBE-GGA, Alexandria).

Calculated values
magnetization	4.380	μB/f.u.
E_form	-0.048	eV/atom

Cell: 3.9501 3.9501 13.4997 Å, 90.00 90.00 90.00°
Space group I4/mmm (No. 139)
Unique sites:
La: 0.0000 0.0000 0.0000 [2 per cell]
V: 0.0000 0.5000 0.2500 [4 per cell]
Au: 0.0000 0.0000 0.3927 [4 per cell]

---

Record 6
# NaEuIn2

An optimized crystal structure of NaEuIn2 (PBE-GGA, Alexandria).

Calculated values
magnetization	7.023	μB/f.u.
E_form	-0.279	eV/atom

Cell: 5.4733 5.4733 3.8715 Å, 90.00 90.00 90.00°
Space group P4/mmm (No. 123)
Unique sites:
Na: 0.0000 0.0000 0.0000 [1 per cell]
Eu: 0.5000 0.5000 0.0000 [1 per cell]
In: 0.0000 0.5000 0.5000 [2 per cell]

---

Short version: Fermi-level density of states = 0.0000 0.2624 0.8291 1.4344 1.1418 2.4248 states/eV per atom, in the order given.